Computed, not measured: a relaxed structure of PmTmPu at the GGA-PBE level of DFT.

Calculated values
energy of formation	117	meV per atom
SG	No. 107

a b c (Å): 7.8158 7.8158 7.8158
angles (deg): 153.98 153.98 37.13
Positions (direct):
Pm 0.0000 0.0000 0.0000
Tm 0.3274 0.3274 0.0000
Pu 0.6668 0.6668 0.0000